1.
# Ho3TmPu2S6 (PBE, relaxed)
# energy relative to the elements, uncorrected: -186.0 kJ per mole of atoms
data_Ho3TmPu2S6
_chemical_formula_sum 'Ho3 Tm1 Pu2 S6'
_symmetry_space_group_name_H-M 'P 1'
_symmetry_Int_Tables_number 1
_symmetry_space_group_name_Hall 'P 1'
_cell_length_a 8.7212
_cell_length_b 8.7212
_cell_length_c 7.8275
_cell_angle_alpha 103.05
_cell_angle_beta 103.05
_cell_angle_gamma 25.75
loop_
_atom_site_label
_atom_site_type_symbol
_atom_site_fract_x
_atom_site_fract_y
_atom_site_fract_z
Ho1 Ho 0.0000 0.0000 0.0000
Ho2 Ho 0.3320 0.3320 0.6668
Ho3 Ho 0.6680 0.6680 0.3332
Tm1 Tm 0.0000 0.0000 0.5000
Pu1 Pu 0.3341 0.3341 0.1665
Pu2 Pu 0.6659 0.6659 0.8335
S1 S 0.1651 0.1651 0.5782
S2 S 0.1658 0.1658 0.0859
S3 S 0.4975 0.4975 0.7460
S4 S 0.5025 0.5025 0.2540
S5 S 0.8342 0.8342 0.9141
S6 S 0.8349 0.8349 0.4218

***

2.
# AlInP (PBE, relaxed)
# ΔE_f: -0.115 eV/atom
data_AlInP
_chemical_formula_sum 'Al1 In1 P1'
_symmetry_space_group_name_H-M 'P 1'
_symmetry_Int_Tables_number 1
_symmetry_space_group_name_Hall 'P 1'
_cell_length_a 3.7564
_cell_length_b 3.7636
_cell_length_c 5.8370
_cell_angle_alpha 84.93
_cell_angle_beta 89.93
_cell_angle_gamma 60.07
loop_
_atom_site_label
_atom_site_type_symbol
_atom_site_fract_x
_atom_site_fract_y
_atom_site_fract_z
Al1 Al 0.0000 0.0000 0.0000
In1 In 0.3331 0.3312 0.3835
P1 P 0.3200 0.3607 0.8418

***

Volume for every record listed, in sequence, given in A^3/atom: 21.0 23.7.